(1)
Sr2Al3Ag5 | GGA-PBE | relaxed

a b c (Å): 6.2164 9.1410 9.1410
angles (deg): 73.98 70.12 70.12
Fractional coordinates of all 20 atoms:
1 Sr 0.1375 0.5915 0.1335
2 Sr 0.6375 0.1335 0.5915
3 Sr 0.8625 0.4085 0.8665
4 Sr 0.3625 0.8665 0.4085
5 Al 0.3579 0.5469 0.7374
6 Al 0.8579 0.7374 0.5469
7 Al 0.6421 0.4531 0.2626
8 Al 0.1421 0.2626 0.4531
9 Al 0.2500 0.0000 0.0000
10 Al 0.7500 0.0000 0.0000
11 Ag 0.4046 0.2658 0.9250
12 Ag 0.9046 0.9250 0.2658
13 Ag 0.5954 0.7342 0.0750
14 Ag 0.0954 0.0750 0.7342
15 Ag 0.4641 0.7859 0.7859
16 Ag 0.5359 0.2141 0.2141
17 Ag 0.7500 0.5000 0.5000
18 Ag 0.2500 0.5000 0.5000
19 Ag 0.0359 0.2141 0.2141
20 Ag 0.9641 0.7859 0.7859

## Properties
Symmetry: Ibam (72)
E above lowest polymorph (meV/atom): 0


(2)
Sr2Al5Ag5 | GGA-PBE | relaxed

a b c (Å): 4.4729 5.6095 9.9751
angles (deg): 90.00 90.00 90.00
Fractional coordinates of all 12 atoms:
1 Sr 0.0000 0.5000 0.0000
2 Sr 0.0000 0.0000 0.5000
3 Al 0.5000 0.0000 0.0000
4 Al 0.5000 0.7519 0.2505
5 Al 0.5000 0.2481 0.7495
6 Al 0.5000 0.2481 0.2505
7 Al 0.5000 0.7519 0.7495
8 Ag 0.0000 0.5000 0.3192
9 Ag 0.0000 0.0000 0.8321
10 Ag 0.0000 0.0000 0.1679
11 Ag 0.0000 0.5000 0.6808
12 Ag 0.5000 0.5000 0.5000

## Properties
Symmetry: Pmmm (47)


(3)
Sr2Al3Ag5 | GGA-PBE | relaxed

a b c (Å): 4.4370 4.4370 11.6975
angles (deg): 90.00 90.00 90.00
Fractional coordinates of all 10 atoms:
1 Sr 0.5000 0.0000 0.2535
2 Sr 0.0000 0.5000 0.7465
3 Al 0.5000 0.0000 0.6283
4 Al 0.0000 0.5000 0.3717
5 Al 0.0000 0.0000 0.5000
6 Ag 0.5000 0.5000 0.0000
7 Ag 0.0000 0.0000 0.0000
8 Ag 0.5000 0.0000 0.8495
9 Ag 0.0000 0.5000 0.1505
10 Ag 0.5000 0.5000 0.5000

## Properties
Symmetry: P-4m2 (115)
E above lowest polymorph (meV/atom): 32


(4)
SrAlAg | GGA-PBE | relaxed

a b c (Å): 4.3258 6.2152 8.7714
angles (deg): 51.20 60.61 69.77
Fractional coordinates of all 6 atoms:
1 Sr 0.9389 0.4539 0.0555
2 Sr 0.4804 0.1743 0.6531
3 Al 0.0893 0.7389 0.2622
4 Al 0.3300 0.8892 0.4463
5 Ag 0.6595 0.0306 0.0457
6 Ag 0.7598 0.5975 0.6629

## Properties
Symmetry: P-1 (2)


(5)
Sr2AlAg | GGA-PBE | relaxed

a b c (Å): 3.7402 3.7402 9.1061
angles (deg): 90.00 90.00 90.00
Fractional coordinates of all 4 atoms:
1 Sr 0.0000 0.0000 0.9284
2 Sr 0.5000 0.5000 0.3200
3 Al 0.5000 0.5000 0.6856
4 Ag 0.0000 0.0000 0.5660

## Properties
Symmetry: P4mm (99)


(6)
SrAl6Ag3 | GGA-PBE | relaxed

a b c (Å): 7.2825 7.0938 8.0161
angles (deg): 108.71 90.00 90.00
Fractional coordinates of all 20 atoms:
1 Sr 0.5000 0.5000 0.5000
2 Sr 0.0000 0.0000 0.0000
3 Al 0.1722 0.8450 0.5955
4 Al 0.9910 0.5157 0.6696
5 Al 0.2404 0.2475 0.7451
6 Al 0.7596 0.7525 0.2549
7 Al 0.0090 0.4843 0.3304
8 Al 0.8278 0.1550 0.4045
9 Al 0.3278 0.3450 0.0955
10 Al 0.5090 0.0157 0.1696
11 Al 0.2596 0.7475 0.2451
12 Al 0.7404 0.2525 0.7549
13 Al 0.4910 0.9843 0.8304
14 Al 0.6722 0.6550 0.9045
15 Ag 0.8102 0.8344 0.6202
16 Ag 0.5000 0.0000 0.5000
17 Ag 0.1898 0.1656 0.3798
18 Ag 0.6898 0.3344 0.1202
19 Ag 0.0000 0.5000 0.0000
20 Ag 0.3102 0.6656 0.8798

## Properties
Symmetry: P2_1/c (14)


Across the entries above, total DFT energy (no corrections) takes the values -3.12, -3.29, -3.09, -3.00, -2.56, -3.35 eV per atom, respectively.
Across the entries above, calculated formation energy takes the values -234.0, -260.8, -202.4, -244.8, -66.5, -79.6 meV per atom, respectively.